A plane-wave DFT calculation with PBE-GGA was carried out for crystalline CsSc2GeS at its relaxed geometry.

Structure (CIF):
```
data_CsSc2GeS
_cell_length_a 5.172
_cell_length_b 5.172
_cell_length_c 6.024
_cell_angle_alpha 90.00
_cell_angle_beta 90.00
_cell_angle_gamma 90.00
_symmetry_space_group_name_H-M 'P 1'
_symmetry_Int_Tables_number 1
loop_
_symmetry_equiv_pos_as_xyz
'x,y,z'
loop_
_atom_site_label
_atom_site_fract_x
_atom_site_fract_y
_atom_site_fract_z
Cs1 0.000 0.000 0.000
Sc1 0.000 0.500 0.500
Sc2 0.500 0.000 0.500
Ge1 0.500 0.500 0.500
S1 0.500 0.500 0.000
```

Values from the calculation:
Formation energy (no corrections) in eV per atom: 0.10
E in eV for the cell shown: -21.75
ρ in g/cm³: 3.376